{"formula": "YScSb", "functional": "PBE-GGA", "state": "optimized geometry", "cell": [[0.0000, 3.4992, 3.4992], [3.4992, 0.0000, 3.4992], [3.4992, 3.4992, 0.0000]], "species": ["Y", "Sc", "Sb"], "frac_coords": [[0.0000, 0.0000, 0.0000], [0.5000, 0.5000, 0.5000], [0.2500, 0.2500, 0.2500]], "formation_energy_uncorrected_mev_per_atom": -521, "mass_density_g_cm3": 5.0, "magmom_total_mub_per_fu": 0.7, "dos_ef_per_ev_atom": 1.33}